# Ce3Th2Te8 (PBE, relaxed)
# Formation energy without anion corrections ... -1197 meV/atom
data_Ce3Th2Te8
_chemical_formula_sum 'Ce3 Th2 Te8'
_cell_length_a 9.324
_cell_length_b 9.324
_cell_length_c 5.390
_cell_angle_alpha 90.00
_cell_angle_beta 90.00
_cell_angle_gamma 109.63
_symmetry_space_group_name_H-M 'P 1'
_symmetry_Int_Tables_number 1
_symmetry_space_group_name_Hall 'P 1'
loop_
_atom_site_label
_atom_site_fract_x
_atom_site_fract_y
_atom_site_fract_z
Ce1 0.000 0.000 0.000
Ce2 0.266 0.266 0.500
Ce3 0.734 0.734 0.500
Th1 0.255 0.745 0.000
Th2 0.745 0.255 0.000
Te1 0.119 0.370 0.000
Te2 0.121 0.879 0.500
Te3 0.369 0.631 0.500
Te4 0.370 0.119 0.000
Te5 0.630 0.881 0.000
Te6 0.631 0.369 0.500
Te7 0.879 0.121 0.500
Te8 0.881 0.630 0.000

# Ce2Th2Te7 (PBE, relaxed)
# Formation energy without anion corrections ... -1116 meV/atom
data_Ce2Th2Te7
_chemical_formula_sum 'Ce2 Th2 Te7'
_cell_length_a 5.337
_cell_length_b 5.337
_cell_length_c 15.063
_cell_angle_alpha 90.00
_cell_angle_beta 90.00
_cell_angle_gamma 90.00
_symmetry_space_group_name_H-M 'P 1'
_symmetry_Int_Tables_number 1
_symmetry_space_group_name_Hall 'P 1'
loop_
_atom_site_label
_atom_site_fract_x
_atom_site_fract_y
_atom_site_fract_z
Ce1 0.000 0.500 0.137
Ce2 0.500 0.000 0.863
Th1 0.000 0.500 0.625
Th2 0.500 0.000 0.375
Te1 0.000 0.000 0.244
Te2 0.000 0.000 0.500
Te3 0.000 0.000 0.756
Te4 0.500 0.500 0.000
Te5 0.500 0.500 0.257
Te6 0.500 0.500 0.500
Te7 0.500 0.500 0.743

# Ce5Th3Te8 (PBE, relaxed)
# Formation energy without anion corrections ... -1236 meV/atom
data_Ce5Th3Te8
_chemical_formula_sum 'Ce5 Th3 Te8'
_cell_length_a 8.957
_cell_length_b 8.957
_cell_length_c 8.957
_cell_angle_alpha 59.86
_cell_angle_beta 59.86
_cell_angle_gamma 59.86
_symmetry_space_group_name_H-M 'P 1'
_symmetry_Int_Tables_number 1
_symmetry_space_group_name_Hall 'P 1'
loop_
_atom_site_label
_atom_site_fract_x
_atom_site_fract_y
_atom_site_fract_z
Ce1 0.000 0.000 0.000
Ce2 0.000 0.500 0.500
Ce3 0.500 0.000 0.500
Ce4 0.500 0.500 0.000
Ce5 0.500 0.500 0.500
Th1 0.000 0.000 0.500
Th2 0.000 0.500 0.000
Th3 0.500 0.000 0.000
Te1 0.250 0.250 0.749
Te2 0.250 0.749 0.250
Te3 0.251 0.251 0.251
Te4 0.251 0.750 0.750
Te5 0.749 0.250 0.250
Te6 0.749 0.749 0.749
Te7 0.750 0.251 0.750
Te8 0.750 0.750 0.251